No. 1
La2Cd5Ag5 PBE optimized geometry; calculated formation energy = -5.52 kcal/mol of atoms; space-group type = Pmmm, No. 47; size of the total moment = 0.000 μB/atom; calculated total energy = -2.630 eV/atom
1.0
4.791 0.000 0.000
0.000 5.795 0.000
0.000 0.000 9.992
La Cd Ag
2 5 5
direct
0.000 0.000 0.000 La
0.000 0.500 0.500 La
0.500 0.000 0.500 Cd
0.500 0.250 0.245 Cd
0.500 0.250 0.755 Cd
0.500 0.750 0.245 Cd
0.500 0.750 0.755 Cd
0.000 0.000 0.334 Ag
0.000 0.000 0.666 Ag
0.000 0.500 0.163 Ag
0.000 0.500 0.837 Ag
0.500 0.500 0.000 Ag

---

No. 2
La2Cd12Ag5 PBE optimized geometry; calculated formation energy = -4.18 kcal/mol of atoms; space-group type = R-3m, No. 166; size of the total moment = 0.000 μB/atom; calculated total energy = -2.028 eV/atom
1.0
5.005 2.890 4.913
-5.005 2.890 4.913
0.000 -5.780 4.913
La Cd Ag
2 12 5
direct
0.164 0.164 0.164 La
0.836 0.836 0.836 La
0.149 0.149 0.651 Cd
0.149 0.651 0.149 Cd
0.205 0.500 0.795 Cd
0.205 0.795 0.500 Cd
0.349 0.851 0.851 Cd
0.500 0.205 0.795 Cd
0.500 0.795 0.205 Cd
0.651 0.149 0.149 Cd
0.795 0.205 0.500 Cd
0.795 0.500 0.205 Cd
0.851 0.349 0.851 Cd
0.851 0.851 0.349 Cd
0.000 0.500 0.500 Ag
0.395 0.395 0.395 Ag
0.500 0.000 0.500 Ag
0.500 0.500 0.000 Ag
0.605 0.605 0.605 Ag

---

No. 3
La4Cd2Ag3 PBE optimized geometry; calculated formation energy = -6.02 kcal/mol of atoms; space-group type = C2/m, No. 12; size of the total moment = 0.001 μB/atom; calculated total energy = -3.605 eV/atom
1.0
5.249 -2.595 0.000
5.249 2.595 0.000
-2.198 0.000 9.121
La Cd Ag
4 2 3
direct
0.064 0.064 0.351 La
0.356 0.356 0.095 La
0.644 0.644 0.905 La
0.936 0.936 0.649 La
0.264 0.264 0.721 Cd
0.736 0.736 0.279 Cd
0.000 0.000 0.000 Ag
0.367 0.367 0.434 Ag
0.633 0.633 0.566 Ag

---

No. 4
La3Cd4Ag4 PBE optimized geometry; calculated formation energy = -6.44 kcal/mol of atoms; space-group type = Immm, No. 71; size of the total moment = 0.000 μB/atom; calculated total energy = -2.993 eV/atom
1.0
-2.238 4.056 7.685
2.238 -4.056 7.685
2.238 4.056 -7.685
La Cd Ag
3 4 4
direct
0.000 0.000 0.000 La
0.376 0.876 0.500 La
0.624 0.124 0.500 La
0.022 0.329 0.694 Cd
0.365 0.671 0.694 Cd
0.635 0.329 0.306 Cd
0.978 0.671 0.306 Cd
0.222 0.222 0.000 Ag
0.318 0.500 0.818 Ag
0.682 0.500 0.182 Ag
0.778 0.778 0.000 Ag

---

No. 5
LaCd3Ag PBE optimized geometry; calculated formation energy = 0.31 kcal/mol of atoms; space-group type = Pm-3m, No. 221; size of the total moment = 0.000 μB/atom; calculated total energy = -2.091 eV/atom
1.0
5.202 0.000 0.000
0.000 5.202 0.000
0.000 0.000 5.202
La Cd Ag
1 3 1
direct
0.000 0.000 0.000 La
0.000 0.500 0.500 Cd
0.500 0.000 0.500 Cd
0.500 0.500 0.000 Cd
0.500 0.500 0.500 Ag

---

No. 6
La4Cd3Ag PBE optimized geometry; calculated formation energy = -7.12 kcal/mol of atoms; space-group type = P4/mmm, No. 123; size of the total moment = 0.100 μB/atom; calculated total energy = -3.472 eV/atom
1.0
3.918 0.000 0.000
0.000 3.918 0.000
0.000 0.000 15.580
La Cd Ag
4 3 1
direct
0.000 0.000 0.119 La
0.000 0.000 0.373 La
0.000 0.000 0.627 La
0.000 0.000 0.881 La
0.500 0.500 0.248 Cd
0.500 0.500 0.500 Cd
0.500 0.500 0.752 Cd
0.500 0.500 0.000 Ag

---

No. 7
La4CdAg3 PBE optimized geometry; calculated formation energy = -6.26 kcal/mol of atoms; space-group type = Pmmm, No. 47; size of the total moment = 0.004 μB/atom; calculated total energy = -3.919 eV/atom
1.0
3.855 0.000 0.000
0.000 5.453 0.000
0.000 0.000 10.878
La Cd Ag
4 1 3
direct
0.000 0.000 0.000 La
0.000 0.000 0.500 La
0.000 0.500 0.243 La
0.000 0.500 0.757 La
0.500 0.500 0.500 Cd
0.500 0.000 0.253 Ag
0.500 0.000 0.747 Ag
0.500 0.500 0.000 Ag

---

No. 8
LaCd2Ag4 PBE optimized geometry; calculated formation energy = 5.34 kcal/mol of atoms; space-group type = I4/mmm, No. 139; size of the total moment = 0.024 μB/atom; calculated total energy = -2.363 eV/atom
1.0
8.512 0.000 0.000
0.000 8.512 0.000
0.000 0.000 5.616
La Cd Ag
2 4 8
direct
0.000 0.000 0.000 La
0.500 0.500 0.500 La
0.000 0.500 0.250 Cd
0.000 0.500 0.750 Cd
0.500 0.000 0.250 Cd
0.500 0.000 0.750 Cd
0.000 0.223 0.500 Ag
0.000 0.777 0.500 Ag
0.223 0.000 0.500 Ag
0.277 0.500 0.000 Ag
0.500 0.277 0.000 Ag
0.500 0.723 0.000 Ag
0.723 0.500 0.000 Ag
0.777 0.000 0.500 Ag

---

No. 9
LaCdAg6 PBE optimized geometry; calculated formation energy = -0.36 kcal/mol of atoms; space-group type = Pm-3, No. 200; size of the total moment = 0.000 μB/atom; calculated total energy = -2.884 eV/atom
1.0
5.521 0.000 0.000
0.000 5.521 0.000
0.000 0.000 5.521
La Cd Ag
1 1 6
direct
0.000 0.000 0.000 La
0.500 0.500 0.500 Cd
0.000 0.255 0.500 Ag
0.000 0.745 0.500 Ag
0.255 0.500 0.000 Ag
0.500 0.000 0.255 Ag
0.500 0.000 0.745 Ag
0.745 0.500 0.000 Ag

---

No. 10
La3Cd7Ag4 PBE optimized geometry; calculated formation energy = -6.48 kcal/mol of atoms; space-group type = C2/m, No. 12; size of the total moment = 0.000 μB/atom; calculated total energy = -2.609 eV/atom
1.0
8.601 -2.409 0.000
8.601 2.409 0.000
-5.394 0.000 8.245
La Cd Ag
3 7 4
direct
0.000 0.000 0.000 La
0.298 0.298 0.299 La
0.702 0.702 0.701 La
0.000 0.000 0.500 Cd
0.144 0.144 0.425 Cd
0.329 0.329 0.979 Cd
0.500 0.500 0.307 Cd
0.500 0.500 0.693 Cd
0.671 0.671 0.021 Cd
0.856 0.856 0.575 Cd
0.129 0.129 0.842 Ag
0.339 0.339 0.707 Ag
0.661 0.661 0.293 Ag
0.871 0.871 0.158 Ag

---

No. 11
Li2LaCd4Ag PBE optimized geometry; calculated formation energy = -4.79 kcal/mol of atoms; space-group type = R-3m, No. 166; size of the total moment = 0.000 μB/atom; calculated total energy = -2.116 eV/atom
1.0
2.371 1.369 9.367
-2.371 1.369 9.367
0.000 -2.738 9.367
Li La Cd Ag
2 1 4 1
direct
0.234 0.234 0.234 Li
0.766 0.766 0.766 Li
0.000 0.000 0.000 La
0.127 0.127 0.127 Cd
0.399 0.399 0.399 Cd
0.601 0.601 0.601 Cd
0.873 0.873 0.873 Cd
0.500 0.500 0.500 Ag

---

No. 12
Li2LaCd2Ag PBE optimized geometry; calculated formation energy = -2.37 kcal/mol of atoms; space-group type = P4/mmm, No. 123; size of the total moment = 0.000 μB/atom; calculated total energy = -2.342 eV/atom
1.0
4.853 0.000 0.000
0.000 4.853 0.000
0.000 0.000 6.069
Li La Cd Ag
2 1 2 1
direct
0.000 0.500 0.000 Li
0.500 0.000 0.000 Li
0.000 0.000 0.500 La
0.500 0.500 0.261 Cd
0.500 0.500 0.739 Cd
0.000 0.000 0.000 Ag